1.
LaIrAu: relaxed, GGA-PBEsol.

abc: 4.4865 4.4865 3.8731
angles: 90.00 90.00 120.00
Space group P-6m2 (No. 187)
Unique sites:
La1 0.0000 0.0000 0.0000
Ir1 0.6667 0.3333 0.5000
Au1 0.3333 0.6667 0.5000

Output
Formation energy (eV per atom): -0.41
Mass density (g/cm³): 12.99
Energy above the most stable polymorph in this dataset (eV/atom): 0.000
Total DFT energy (no corrections) (eV/atom): -6.777

***

2.
LaIrAu2: relaxed, GGA-PBEsol.

abc: 4.262 4.262 8.524
angles: 90.00 90.00 90.00
Space group I-4m2 (No. 119)
Unique sites:
La1 0.000 0.000 0.000
Ir1 0.000 0.500 0.750
Au1 0.000 0.000 0.500
Au2 0.000 0.500 0.250

Output
Formation energy (eV per atom): -0.32
Mass density (g/cm³): 15.55
Energy above the most stable polymorph in this dataset (eV/atom): 0.003
Total DFT energy (no corrections) (eV/atom): -6.071

***

3.
LaIrAu2: relaxed, GGA-PBEsol.

abc: 3.660 3.660 5.936
angles: 90.00 90.00 90.00
Space group P4mm (No. 99)
Unique sites:
La1 0.000 0.000 0.000
Ir1 0.500 0.500 0.757
Au1 0.000 0.000 0.515
Au2 0.500 0.500 0.296

Output
Formation energy (eV per atom): -0.22
Mass density (g/cm³): 15.14
Energy above the most stable polymorph in this dataset (eV/atom): 0.103
Total DFT energy (no corrections) (eV/atom): -5.970

***

4.
LaIrAu4: relaxed, GGA-PBEsol.

abc: 7.693 7.693 7.693
angles: 90.00 90.00 90.00
Space group F-43m (No. 216)
Unique sites:
La1 0.000 0.000 0.000
Ir1 0.250 0.250 0.750
Au1 0.124 0.124 0.376

Output
Formation energy (eV per atom): -0.17
Mass density (g/cm³): 16.33
Total DFT energy (no corrections) (eV/atom): -5.318

***

5.
LaIrAu2: relaxed, GGA-PBEsol.

abc: 3.957 3.924 10.622
angles: 90.00 90.00 90.00
Space group Amm2 (No. 38)
Unique sites:
La1 0.000 0.000 0.000
Ir1 0.500 0.000 0.555
Au1 0.000 0.000 0.728
Au2 0.500 0.000 0.294

Output
Formation energy (eV per atom): -0.32
Mass density (g/cm³): 14.60
Energy above the most stable polymorph in this dataset (eV/atom): 0.000
Total DFT energy (no corrections) (eV/atom): -6.074

***

6.
LaIrAu2: relaxed, GGA-PBEsol.

abc: 5.559 5.758 10.179
angles: 90.00 90.00 90.00
Space group Fmmm (No. 69)
Unique sites:
La1 0.000 0.000 0.000
Ir1 0.000 0.000 0.500
Au1 0.000 0.250 0.250

Output
Formation energy (eV per atom): -0.22
Mass density (g/cm³): 14.78
Energy above the most stable polymorph in this dataset (eV/atom): 0.094
Total DFT energy (no corrections) (eV/atom): -5.979

***

7.
LaIrAu: relaxed, GGA-PBEsol.

abc: 6.582 6.582 6.582
angles: 90.00 90.00 90.00
Space group F-43m (No. 216)
Unique sites:
La1 0.000 0.000 0.000
Ir1 0.000 0.000 0.500
Au1 0.250 0.250 0.250

Output
Formation energy (eV per atom): -0.07
Mass density (g/cm³): 12.30
Energy above the most stable polymorph in this dataset (eV/atom): 0.344
Total DFT energy (no corrections) (eV/atom): -6.433

***

8.
LaIrAu: relaxed, GGA-PBEsol.

abc: 3.228 3.965 9.601
angles: 90.00 90.00 90.00
Space group Imm2 (No. 44)
Unique sites:
La1 0.000 0.000 0.000
Ir1 0.000 0.000 0.328
Au1 0.000 0.000 0.692

Output
Formation energy (eV per atom): -0.26
Mass density (g/cm³): 14.27
Energy above the most stable polymorph in this dataset (eV/atom): 0.149
Total DFT energy (no corrections) (eV/atom): -6.628

***

9.
Li4IrAu: relaxed, GGA-PBEsol.

abc: 6.689 6.689 6.689
angles: 90.00 90.00 90.00
Space group F-43m (No. 216)
Unique sites:
Li1 0.124 0.124 0.124
Ir1 0.250 0.250 0.750
Au1 0.000 0.000 0.500

Output
Formation energy (eV per atom): -0.03
Mass density (g/cm³): 9.26
Total DFT energy (no corrections) (eV/atom): -3.630

***

10.
Li3IrAu: relaxed, GGA-PBEsol.

abc: 4.524 4.524 4.524
angles: 90.00 90.00 90.00
Space group Pm-3m (No. 221)
Unique sites:
Li1 0.000 0.000 0.500
Ir1 0.000 0.000 0.000
Au1 0.500 0.500 0.500

Output
Formation energy (eV per atom): 0.64
Mass density (g/cm³): 7.35
Energy above the most stable polymorph in this dataset (eV/atom): 0.000
Total DFT energy (no corrections) (eV/atom): -3.293

***

11.
LiIrAu2: relaxed, GGA-PBEsol.

abc: 2.803 4.646 9.433
angles: 90.00 90.00 90.00
Space group Cmm2 (No. 35)
Unique sites:
Li1 0.000 0.000 0.000
Ir1 0.000 0.500 0.774
Au1 0.000 0.000 0.513
Au2 0.000 0.500 0.239

Output
Formation energy (eV per atom): 0.02
Mass density (g/cm³): 16.03
Total DFT energy (no corrections) (eV/atom): -4.888

***

12.
LiIrAu2: relaxed, GGA-PBEsol.

abc: 4.682 4.682 2.775
angles: 90.00 90.00 90.00
Space group P4/mmm (No. 123)
Unique sites:
Li1 0.000 0.000 0.000
Ir1 0.500 0.500 0.000
Au1 0.000 0.500 0.500

Output
Formation energy (eV per atom): -0.14
Mass density (g/cm³): 16.19
Total DFT energy (no corrections) (eV/atom): -5.046

***

13.
LiIrAu: relaxed, GGA-PBEsol.

abc: 5.586 5.586 5.586
angles: 90.00 90.00 90.00
Space group F-43m (No. 216)
Unique sites:
Li1 0.000 0.000 0.000
Ir1 0.250 0.250 0.250
Au1 0.250 0.250 0.750

Output
Formation energy (eV per atom): 0.52
Mass density (g/cm³): 15.09
Total DFT energy (no corrections) (eV/atom): -4.720

***

14.
MgIr4Au: relaxed, GGA-PBEsol.

abc: 7.294 7.294 7.294
angles: 90.00 90.00 90.00
Space group F-43m (No. 216)
Unique sites:
Mg1 0.000 0.000 0.000
Ir1 0.125 0.125 0.375
Au1 0.250 0.250 0.750

Output
Formation energy (eV per atom): 0.27
Mass density (g/cm³): 16.95
Total DFT energy (no corrections) (eV/atom): -7.220

***

15.
MnIr2Au: relaxed, GGA-PBEsol.

abc: 2.769 4.649 9.123
angles: 90.00 90.00 90.00
Space group Cmmm (No. 65)
Unique sites:
Mn1 0.000 0.000 0.000
Ir1 0.000 0.500 0.225
Au1 0.000 0.000 0.500

Output
Formation energy (eV per atom): 0.23
Mass density (g/cm³): 18.00
Total DFT energy (no corrections) (eV/atom): -8.106

***

16.
MnIrAu2: relaxed, GGA-PBEsol.

abc: 2.782 2.782 7.769
angles: 90.00 90.00 90.00
Space group P4mm (No. 99)
Unique sites:
Mn1 0.000 0.000 0.000
Ir1 0.500 0.500 0.800
Au1 0.000 0.000 0.528
Au2 0.500 0.500 0.246

Output
Formation energy (eV per atom): 0.10
Mass density (g/cm³): 17.70
Total DFT energy (no corrections) (eV/atom): -6.763

***

17.
MnIrAu2: relaxed, GGA-PBEsol.

abc: 2.813 4.701 9.389
angles: 90.00 90.00 90.00
Space group Cmmm (No. 65)
Unique sites:
Mn1 0.000 0.000 0.000
Ir1 0.000 0.000 0.500
Au1 0.000 0.500 0.241

Output
Formation energy (eV per atom): 0.38
Mass density (g/cm³): 17.15
Total DFT energy (no corrections) (eV/atom): -6.476

***

18.
MnIr2Au: relaxed, GGA-PBEsol.

abc: 2.787 4.579 4.642
angles: 90.00 90.00 90.00
Space group Pmmm (No. 47)
Unique sites:
Mn1 0.000 0.000 0.000
Ir1 0.000 0.500 0.500
Ir2 0.500 0.500 0.000
Au1 0.500 0.000 0.500

Output
Formation energy (eV per atom): 0.30
Mass density (g/cm³): 17.84
Total DFT energy (no corrections) (eV/atom): -8.037

***

19.
MoIrAu: relaxed, GGA-PBEsol.

abc: 6.010 6.010 6.010
angles: 90.00 90.00 90.00
Space group F-43m (No. 216)
Unique sites:
Mo1 0.000 0.000 0.000
Ir1 0.250 0.250 0.750
Au1 0.250 0.250 0.250

Output
Formation energy (eV per atom): 0.66
Mass density (g/cm³): 14.84
Total DFT energy (no corrections) (eV/atom): -7.848

***

20.
MoIr2Au: relaxed, GGA-PBEsol.

abc: 6.247 6.247 6.247
angles: 90.00 90.00 90.00
Space group Fm-3m (No. 225)
Unique sites:
Mo1 0.000 0.000 0.000
Ir1 0.250 0.250 0.250
Au1 0.000 0.000 0.500

Output
Formation energy (eV per atom): 0.35
Mass density (g/cm³): 18.45
Total DFT energy (no corrections) (eV/atom): -8.486

***

21.
Mo2Ir2Au: relaxed, GGA-PBEsol.

abc: 3.881 3.881 11.339
angles: 90.00 90.00 90.00
Space group I4/mmm (No. 139)
Unique sites:
Mo1 0.000 0.500 0.250
Ir1 0.000 0.000 0.107
Au1 0.000 0.000 0.500

Output
Formation energy (eV per atom): 0.35
Mass density (g/cm³): 15.04
Total DFT energy (no corrections) (eV/atom): -9.076

***

22.
Nb3IrAu: relaxed, GGA-PBEsol.

abc: 4.781 4.781 4.781
angles: 90.00 90.00 90.00
Space group Pm-3m (No. 221)
Unique sites:
Nb1 0.000 0.000 0.500
Ir1 0.000 0.000 0.000
Au1 0.500 0.500 0.500

Output
Formation energy (eV per atom): 0.99
Mass density (g/cm³): 10.15
Total DFT energy (no corrections) (eV/atom): -8.254

***

23.
Nb2Ir2Au: relaxed, GGA-PBEsol.

abc: 7.564 7.564 2.908
angles: 90.00 90.00 90.00
Space group P4/mbm (No. 127)
Unique sites:
Nb1 0.166 0.334 0.000
Ir1 0.131 0.631 0.500
Au1 0.000 0.000 0.500

Output
Formation energy (eV per atom): -0.34
Mass density (g/cm³): 15.32
Total DFT energy (no corrections) (eV/atom): -9.384

***

24.
NiIrAu2: relaxed, GGA-PBEsol.

abc: 3.897 3.897 7.741
angles: 90.00 90.00 90.00
Space group I-4m2 (No. 119)
Unique sites:
Ni1 0.000 0.000 0.000
Ir1 0.000 0.500 0.750
Au1 0.000 0.000 0.500
Au2 0.000 0.500 0.250

Output
Formation energy (eV per atom): 0.32
Mass density (g/cm³): 18.22
Energy above the most stable polymorph in this dataset (eV/atom): 0.000
Total DFT energy (no corrections) (eV/atom): -5.633

***

25.
NiIrAu2: relaxed, GGA-PBEsol.

abc: 2.759 4.637 4.649
angles: 90.00 90.00 90.00
Space group Pmmm (No. 47)
Unique sites:
Ni1 0.000 0.000 0.000
Ir1 0.500 0.500 0.000
Au1 0.000 0.500 0.500
Au2 0.500 0.000 0.500

Output
Formation energy (eV per atom): 0.36
Mass density (g/cm³): 18.00
Energy above the most stable polymorph in this dataset (eV/atom): 0.038
Total DFT energy (no corrections) (eV/atom): -5.595

***

26.
NiIr2Au: relaxed, GGA-PBEsol.

abc: 2.714 3.688 5.568
angles: 90.00 90.00 90.00
Space group Pmmm (No. 47)
Unique sites:
Ni1 0.000 0.000 0.000
Ir1 0.500 0.500 0.228
Au1 0.000 0.000 0.500

Output
Formation energy (eV per atom): 0.32
Mass density (g/cm³): 19.07
Energy above the most stable polymorph in this dataset (eV/atom): 0.065
Total DFT energy (no corrections) (eV/atom): -7.112

***

27.
NiIrAu: relaxed, GGA-PBEsol.

abc: 2.720 4.629 13.579
angles: 90.00 90.00 90.00
Space group Fmm2 (No. 42)
Unique sites:
Ni1 0.000 0.000 0.000
Ir1 0.000 0.000 0.349
Au1 0.000 0.000 0.664

Output
Formation energy (eV per atom): 0.31
Mass density (g/cm³): 17.40
Total DFT energy (no corrections) (eV/atom): -6.324

***

28.
Ni6IrAu: relaxed, GGA-PBEsol.

abc: 7.213 10.189 10.188
angles: 90.00 90.00 90.00
Space group Cmmm (No. 65)
Unique sites:
Ni1 0.000 0.000 0.000
Ni2 0.000 0.000 0.500
Ni3 0.000 0.246 0.245
Ni4 0.000 0.500 0.000
Ni5 0.000 0.500 0.500
Ni6 0.245 0.124 0.372
Ni7 0.245 0.127 0.122
Ir1 0.000 0.000 0.250
Ir2 0.000 0.252 0.000
Au1 0.000 0.254 0.500
Au2 0.000 0.500 0.249

Output
Formation energy (eV per atom): 0.05
Mass density (g/cm³): 13.15
Total DFT energy (no corrections) (eV/atom): -6.284